## SrIrPd (GGA-PBE)

Data for a relaxed structure of SrIrPd.

Cell lengths 5.1620, 9.4300, 6.3142 Å; angles 83.58, 65.87, 74.12 degrees
Sites, in units of the cell vectors:
Sr (0.4680, 0.7709, 0.2931)
Sr (0.2389, 0.2291, 0.2931)
Sr (0.7611, 0.7709, 0.7069)
Sr (0.5320, 0.2291, 0.7069)
Ir (0.8447, 0.0000, 0.3107)
Ir (0.9057, 0.1887, 0.0000)
Ir (0.0943, 0.8113, 0.0000)
Ir (0.1553, 0.0000, 0.6893)
Pd (0.0913, 0.5642, 0.2533)
Pd (0.6554, 0.4358, 0.2533)
Pd (0.3446, 0.5642, 0.7467)
Pd (0.9087, 0.4358, 0.7467)

Computed properties:
Uncorrected energy, eV per formula unit: -15.7
Space-group type: Fmmm (69)
Formation enthalpy at 0 K, eV per atom: 0.001

## Ba8AgO2 (GGA-PBE)

Data for a relaxed structure of Ba8AgO2.

Cell lengths 9.4257, 11.9174, 12.1321 Å; angles 77.64, 67.14, 66.71 degrees
Sites, in units of the cell vectors:
Ba (0.3692, 0.7827, 0.5290)
Ba (0.1618, 0.9859, 0.2003)
Ba (0.6965, 0.9510, 0.1721)
Ba (0.2016, 0.2112, 0.4604)
Ba (0.3035, 0.0490, 0.8279)
Ba (0.8732, 0.2888, 0.0396)
Ba (0.7984, 0.7888, 0.5396)
Ba (0.1804, 0.4510, 0.6721)
Ba (0.1268, 0.7112, 0.9604)
Ba (0.6809, 0.7173, 0.9710)
Ba (0.6520, 0.4859, 0.7003)
Ba (0.3480, 0.5141, 0.2997)
Ba (0.3191, 0.2827, 0.0290)
Ba (0.8196, 0.5490, 0.3279)
Ba (0.6308, 0.2173, 0.4710)
Ba (0.8382, 0.0141, 0.7997)
Ag (0.0225, 0.7500, 0.2500)
Ag (0.9775, 0.2500, 0.7500)
O (0.8338, 0.8475, 0.9723)
O (0.3464, 0.3475, 0.4723)
O (0.6536, 0.6525, 0.5277)
O (0.1662, 0.1525, 0.0277)

Computed properties:
Uncorrected formation energy, eV per atom: -0.9225
Uncorrected energy, eV per formula unit: -38.3
Space-group type: C2/c (15)

## Tl3IF (GGA-PBE)

Data for a relaxed structure of Tl3IF.

Cell lengths 6.5423, 6.5423, 6.5423 Å; angles 90.00, 90.00, 90.00 degrees
Sites, in units of the cell vectors:
I (0.0000, 0.0000, 0.0000)
Tl (0.0000, 0.5000, 0.0000)
Tl (0.0000, 0.0000, 0.5000)
Tl (0.5000, 0.0000, 0.0000)
F (0.5000, 0.5000, 0.5000)

Computed properties:
Uncorrected formation energy, eV per atom: -0.2165
Uncorrected energy, eV per formula unit: -11.6
Space-group type: Pm-3m (221)

## KScMo2 (GGA-PBE)

Data for a relaxed structure of KScMo2.

Cell lengths 3.0685, 4.5217, 7.5603 Å; angles 90.00, 90.00, 90.00 degrees
Sites, in units of the cell vectors:
K (0.5000, 0.5000, 0.7500)
Mo (0.0000, 0.0000, 0.1024)
Mo (0.0000, 0.0000, 0.3976)
Sc (0.5000, 0.5000, 0.2500)

Computed properties:
Uncorrected energy, eV per formula unit: -26.0
Space-group type: Pmmm (47)
Formation enthalpy at 0 K, eV per atom: 0.776